The following is a PBE-GGA calculation of an optimized crystal structure of MgZn3Cu, from the Alexandria database.

a b c (Å): 6.692 6.692 4.976
angles (deg): 90.00 90.00 133.88
Fractional coordinates of all 10 atoms:
Mg  0.080  0.920  0.750
Mg  0.920  0.080  0.250
Zn  0.102  0.396  0.750
Zn  0.323  0.677  0.250
Zn  0.396  0.102  0.250
Zn  0.604  0.898  0.750
Zn  0.677  0.323  0.750
Zn  0.898  0.604  0.250
Cu  0.500  0.500  0.000
Cu  0.500  0.500  0.500

Properties
* raw total energy: -19.730 eV for the cell shown
* SG: No. 63
* E_form: -0.07 eV/atom

***

The following is a PBE-GGA calculation of an optimized crystal structure of BaGdHg, from the Alexandria database.

a b c (Å): 3.982 3.982 13.811
angles (deg): 90.00 90.00 90.00
Fractional coordinates of all 6 atoms:
Ba  0.000  0.000  0.000
Ba  0.500  0.500  0.500
Gd  0.000  0.000  0.275
Gd  0.500  0.500  0.775
Hg  0.000  0.000  0.673
Hg  0.500  0.500  0.173

Properties
* raw total energy: -34.195 eV for the cell shown
* SG: No. 107
* E_form: -0.26 eV/atom

***

The following is a PBE-GGA calculation of an optimized crystal structure of YSb2CN, from the Alexandria database.

a b c (Å): 4.640 4.640 4.666
angles (deg): 90.00 90.00 90.00
Fractional coordinates of all 5 atoms:
Y  0.000  0.000  0.000
Sb  0.000  0.500  0.500
Sb  0.500  0.000  0.500
C  0.500  0.500  0.000
N  0.000  0.000  0.500

Properties
* raw total energy: -27.706 eV for the cell shown
* SG: No. 123

***

The following is a PBE-GGA calculation of an optimized crystal structure of ScTl2Fe, from the Alexandria database.

a b c (Å): 3.458 3.491 6.818
angles (deg): 90.00 90.00 90.00
Fractional coordinates of all 4 atoms:
Sc  0.000  0.000  0.000
Tl  0.500  0.500  0.274
Tl  0.500  0.500  0.726
Fe  0.000  0.000  0.500

Properties
* raw total energy: -18.620 eV for the cell shown
* SG: No. 47
* E_form: 0.23 eV/atom

***

The following is a PBE-GGA calculation of an optimized crystal structure of Zr3HN, from the Alexandria database.

a b c (Å): 8.915 8.915 5.291
angles (deg): 90.00 90.00 158.98
Fractional coordinates of all 10 atoms:
Zr  0.053  0.947  0.500
Zr  0.278  0.722  0.986
Zr  0.381  0.619  0.479
Zr  0.619  0.381  0.979
Zr  0.722  0.278  0.486
Zr  0.947  0.053  0.000
H  0.390  0.610  0.863
H  0.610  0.390  0.363
N  0.166  0.834  0.731
N  0.834  0.166  0.231

Properties
* raw total energy: -83.308 eV for the cell shown
* SG: No. 36

***

The following is a PBE-GGA calculation of an optimized crystal structure of La2BeS, from the Alexandria database.

a b c (Å): 7.533 7.533 7.936
angles (deg): 90.00 90.00 90.00
Fractional coordinates of all 16 atoms:
La  0.249  0.250  0.125
La  0.250  0.749  0.375
La  0.250  0.751  0.875
La  0.251  0.250  0.625
La  0.749  0.750  0.625
La  0.750  0.249  0.875
La  0.750  0.251  0.375
La  0.751  0.750  0.125
Be  0.000  0.000  0.500
Be  0.000  0.500  0.750
Be  0.500  0.000  0.250
Be  0.500  0.500  0.000
S  0.000  0.000  0.000
S  0.000  0.500  0.250
S  0.500  0.000  0.750
S  0.500  0.500  0.500

Properties
* raw total energy: -78.808 eV for the cell shown
* SG: No. 122

***

The following is a PBE-GGA calculation of an optimized crystal structure of Tl2BSbW, from the Alexandria database.

a b c (Å): 4.671 4.671 5.262
angles (deg): 90.00 90.00 90.00
Fractional coordinates of all 5 atoms:
Tl  0.000  0.500  0.000
Tl  0.500  0.000  0.000
B  0.000  0.000  0.000
Sb  0.000  0.000  0.500
W  0.500  0.500  0.500

Properties
* raw total energy: -20.796 eV for the cell shown
* SG: No. 123

***

The following is a PBE-GGA calculation of an optimized crystal structure of PmDy5Tl6, from the Alexandria database.

a b c (Å): 7.469 7.469 6.622
angles (deg): 98.26 98.26 98.12
Fractional coordinates of all 12 atoms:
Pm  0.000  0.000  0.000
Dy  0.166  0.834  0.500
Dy  0.335  0.665  0.000
Dy  0.500  0.500  0.500
Dy  0.665  0.335  0.000
Dy  0.834  0.166  0.500
Tl  0.082  0.421  0.253
Tl  0.251  0.251  0.744
Tl  0.421  0.082  0.253
Tl  0.579  0.918  0.747
Tl  0.749  0.749  0.256
Tl  0.918  0.579  0.747

Properties
* raw total energy: -45.010 eV for the cell shown
* SG: No. 12
* E_form: -0.25 eV/atom